Entry 1:
Below is a relaxed YCuI6 crystal, with properties calculated at the PBE level.

Properties
Raw total energy: -3.10 eV/atom
ΔE_f (raw): -0.62 eV per atom

```
YCuI6
1.0
-0.470 -4.924 7.905
3.349 -8.546 4.529
5.777 0.101 5.172
I Cu Y
6 1 1
Direct
0.270 0.914 0.138
0.378 0.773 0.713
0.111 0.531 0.673
0.730 0.086 0.862
0.889 0.469 0.327
0.622 0.227 0.287
0.000 0.000 0.000
0.500 0.500 0.500
```



Entry 2:
Below is a relaxed Y2CuI crystal, with properties calculated at the PBE level.

Properties
Raw total energy: -4.82 eV/atom
ΔE_f (raw): -0.18 eV per atom
Relative energy among the computed polymorphs: 0 meV per atom
Density of states at the Fermi level: 4.4 states/eV/cell

```
Y2CuI
1.0
0.000 3.688 3.688
3.688 0.000 3.688
3.688 3.688 0.000
Y Cu I
2 1 1
Direct
0.750 0.750 0.750
0.250 0.250 0.250
0.000 0.000 0.000
0.500 0.500 0.500
```